The following is a PBE calculation of crystalline HoZn6Cd6 at its relaxed geometry, from the Alexandria database.

a b c (Å): 7.2042 7.2042 7.2042
angles (deg): 134.42 99.63 97.63
With the nearest neighbours (Å) after each atom.
Positions (direct):
Ho: 0.0000 0.0000 0.0000  8 Cd 3.21-3.33, 4 Zn 3.53
Zn: 0.0000 0.0000 0.5000  4 Zn 2.72-2.79, 6 Cd 2.80-2.89
Zn: 0.0000 0.5000 0.0000  4 Zn 2.72-2.79, 6 Cd 2.80-2.89
Zn: 0.2274 0.7274 0.5000  4 Zn 2.72, 6 Cd 2.82-3.00
Zn: 0.5000 0.0000 0.0000  4 Zn 2.72-2.79, 6 Cd 2.80-2.89
Zn: 0.5000 0.5000 0.5000  4 Zn 2.72-2.79, 6 Cd 2.80-2.89
Zn: 0.7726 0.2726 0.5000  4 Zn 2.72, 6 Cd 2.82-3.00
Cd: 0.1950 0.5000 0.6950  6 Zn 2.80-2.82, 2 Cd 3.12
Cd: 0.3448 0.0000 0.3448  3 Cd 2.89-3.12, 6 Zn 2.89-2.96, 1 Ho 3.21
Cd: 0.3446 0.3446 0.0000  6 Zn 2.86-3.00, 3 Cd 2.95-3.20
Cd: 0.6552 0.0000 0.6552  3 Cd 2.89-3.12, 6 Zn 2.89-2.96, 1 Ho 3.21
Cd: 0.6554 0.6554 0.0000  6 Zn 2.86-3.00, 3 Cd 2.95-3.20
Cd: 0.8050 0.5000 0.3050  6 Zn 2.80-2.82, 2 Cd 3.12

The calculation puts the total magnetization at 0.00 μB/cell. For the volume, the calculation gives 18.9 A^3/atom. As for the density of states at the Fermi level: 0.170 states/eV per atom. As for the space group: Immm. The value obtained for the formation energy is -100.6 meV/atom.

The following is a PBE calculation of crystalline Zr2HAu at its relaxed geometry, from the Alexandria database.

a b c (Å): 7.7475 7.7475 3.3565
angles (deg): 102.49 102.49 128.88
With the nearest neighbours (Å) after each atom.
Positions (direct):
Zr: 0.1962 0.8038 0.0000  2 H 2.07
Zr: 0.2419 0.2419 0.7420  2 H 2.07
Zr: 0.7581 0.7581 0.2580  2 H 2.07
Zr: 0.8038 0.1962 0.0000  2 H 2.07
H: 0.1093 0.8907 0.5000  4 Zr 2.07
H: 0.8907 0.1093 0.5000  4 Zr 2.07
Au: 0.3611 0.6389 0.5000  8 Zr 2.85-3.00
Au: 0.6389 0.3611 0.5000  8 Zr 2.85-3.00

The calculation puts the total magnetization at 0.00 μB/cell. For the volume, the calculation gives 17.0 A^3/atom. As for the density of states at the Fermi level: 0.771 states/eV per atom. As for the space group: C2/m. The calculation puts the offset from the most stable computed form at 0 meV/atom.

The following is a PBE calculation of crystalline ZnCdCu2As at its relaxed geometry, from the Alexandria database.

a b c (Å): 4.5158 4.5158 4.9351
angles (deg): 90.00 90.00 90.00
With the nearest neighbours (Å) after each atom.
Positions (direct):
Zn: 0.0000 0.0000 0.0000  4 Cu 2.26, 2 Cd 2.47
Cd: 0.0000 0.0000 0.5000  2 Zn 2.47
Cu: 0.0000 0.5000 0.0000  2 Zn 2.26
Cu: 0.5000 0.0000 0.0000  2 Zn 2.26
As: 0.5000 0.5000 0.5000  4 Cd 3.19, 8 Cu 3.34

The calculation puts the total magnetization at 0.00 μB/cell. For the volume, the calculation gives 20.1 A^3/atom. As for the density of states at the Fermi level: 0.554 states/eV per atom. As for the space group: P4/mmm. The value obtained for the formation energy is 676.4 meV/atom.

The following is a PBE calculation of crystalline PmNd2Si4 at its relaxed geometry, from the Alexandria database.

a b c (Å): 9.4451 9.4451 9.4451
angles (deg): 155.86 152.93 36.58
With the nearest neighbours (Å) after each atom.
Positions (direct):
Pm: 0.0000 0.0000 0.0000  12 Si 3.19-3.42
Nd: 0.1818 0.6818 0.5000  7 Si 3.04-3.10
Nd: 0.8182 0.3182 0.5000  7 Si 3.04-3.10
Si: 0.3547 0.8547 0.5000  2 Si 2.44
Si: 0.4344 0.4344 0.0000  3 Si 2.35-2.44
Si: 0.5656 0.5656 0.0000  3 Si 2.35-2.44
Si: 0.6453 0.1453 0.5000  2 Si 2.44

The calculation puts the total magnetization at 0.00 μB/cell. For the volume, the calculation gives 22.4 A^3/atom. As for the density of states at the Fermi level: 0.711 states/eV per atom. As for the space group: Immm. The formation energy (no corrections) is -0.7264 eV per atom.

The following is a PBE calculation of crystalline Li2TlCoN at its relaxed geometry, from the Alexandria database.

a b c (Å): 4.3727 4.3727 3.5090
angles (deg): 90.00 90.00 90.00
With the nearest neighbours (Å) after each atom.
Positions (direct):
Li: 0.0000 0.5000 0.0000  2 N 2.19
Li: 0.5000 0.0000 0.0000  2 N 2.19
Tl: 0.0000 0.0000 0.5000  8 Li 2.80, 4 Co 3.09
Co: 0.5000 0.5000 0.5000  2 N 1.75
N: 0.5000 0.5000 0.0000  2 Co 1.75

The calculation puts the total magnetization at 0.00 μB/cell. For the volume, the calculation gives 13.4 A^3/atom. As for the density of states at the Fermi level: 0.247 states/eV per atom. As for the space group: P4/mmm. The formation energy (no corrections) is -0.2513 eV per atom.

The following is a PBE calculation of crystalline HoHfAg2 at its relaxed geometry, from the Alexandria database.

a b c (Å): 3.4112 3.4112 7.4429
angles (deg): 90.00 90.00 90.00
With the nearest neighbours (Å) after each atom.
Positions (direct):
Ho: 0.0000 0.0000 0.0000  8 Ag 3.14, 4 Ho 3.41
Hf: 0.0000 0.0000 0.5000  8 Ag 2.96
Ag: 0.5000 0.5000 0.2700  4 Hf 2.96, 4 Ho 3.14
Ag: 0.5000 0.5000 0.7300  4 Hf 2.96, 4 Ho 3.14

The calculation puts the total magnetization at 0.47 μB/cell. For the volume, the calculation gives 21.7 A^3/atom. As for the density of states at the Fermi level: 0.943 states/eV per atom. As for the space group: P4/mmm. The value obtained for the formation energy is -76.5 meV/atom. The calculation puts the offset from the most stable computed form at 0 meV/atom.